# 1
Computed, not measured: a relaxed CeTm5Mg4 crystal at the PBE level of DFT.

The calculation puts the volume at 272 Å³/cell. The formation energy from the elements is -0.021 eV/atom. Its density of states at the Fermi level is 1.492 states/eV per atom. As for the total DFT energy (no corrections): -3.4881 eV per atom.

The structure belongs to space group P4/mmm (No. 123); the cell edges are 3.6766, 3.6766 and 20.0877 Å and the angles 90.00°, 90.00° and 90.00°. The inequivalent atoms are Ce at (0.0000, 0.0000, 0.0000), Tm at (0.5000, 0.5000, 0.1140), Tm at (0.5000, 0.5000, 0.3101), Tm at (0.5000, 0.5000, 0.5000), Mg at (0.0000, 0.0000, 0.2126) and Mg at (0.0000, 0.0000, 0.4049).

---

# 2
Computed, not measured: a relaxed CeTmMg crystal at the PBE level of DFT.

The calculation puts the volume at 163 Å³/cell. The formation energy from the elements is 0.033 eV/atom. Its density of states at the Fermi level is 1.670 states/eV per atom. As for the total DFT energy (no corrections): -3.9666 eV per atom.

The structure belongs to space group P4/nmm (No. 129, origin choice 2); the cell edges are 3.6996, 3.6996 and 11.8811 Å and the angles 90.00°, 90.00° and 90.00°. The inequivalent atoms are Ce at (0.2500, 0.2500, 0.0674), Tm at (0.2500, 0.2500, 0.4071) and Mg at (0.2500, 0.2500, 0.7578).

---

# 3
Computed, not measured: a relaxed CeTmMgZn crystal at the PBE level of DFT.

The calculation puts the volume at 396 Å³/cell. The formation energy from the elements is -0.094 eV/atom. Its density of states at the Fermi level is 1.870 states/eV per atom. As for the total DFT energy (no corrections): -3.4123 eV per atom.

The structure belongs to space group F-43m (No. 216); the cell edges are 7.3440, 7.3440 and 7.3440 Å and the angles 90.00°, 90.00° and 90.00°. The inequivalent atoms are Ce at (0.0000, 0.0000, 0.0000), Tm at (0.0000, 0.0000, 0.5000), Mg at (0.2500, 0.2500, 0.7500) and Zn at (0.2500, 0.2500, 0.2500).

---

# 4
Computed, not measured: a relaxed CeMgU crystal at the PBE level of DFT.

The calculation puts the volume at 290 Å³/cell. The formation energy from the elements is 0.176 eV/atom. Its density of states at the Fermi level is 2.399 states/eV per atom. As for the total DFT energy (no corrections): -6.0961 eV per atom.

The structure belongs to space group Cmcm (No. 63); the cell edges are 3.8830, 14.6680 and 5.0955 Å and the angles 90.00°, 90.00° and 90.00°. The inequivalent atoms are Ce at (0.0000, 0.1221, 0.2500), Mg at (0.0000, 0.4267, 0.2500) and U at (0.0000, 0.2555, 0.7500).

---

Repeat the fourth record exactly.
Computed, not measured: a relaxed CeMgU crystal at the PBE level of DFT.

The calculation puts the volume at 290 Å³/cell. The formation energy from the elements is 0.176 eV/atom. Its density of states at the Fermi level is 2.399 states/eV per atom. As for the total DFT energy (no corrections): -6.0961 eV per atom.

The structure belongs to space group Cmcm (No. 63); the cell edges are 3.8830, 14.6680 and 5.0955 Å and the angles 90.00°, 90.00° and 90.00°. The inequivalent atoms are Ce at (0.0000, 0.1221, 0.2500), Mg at (0.0000, 0.4267, 0.2500) and U at (0.0000, 0.2555, 0.7500).

---

Look up the formation energy from the elements of the fourth one.
0.176 eV/atom